[1]
VASP calculation (GGA-PBE) on crystalline Zn2SnI8 at its relaxed geometry.

Cell lengths 8.8062, 8.8062, 7.2288 Å; angles 102.10, 102.10, 83.42 degrees
With the nearest neighbours (Å) after each atom.
Fractional positions:
Zn1 0.1976 0.1976 0.2056  4 I 2.57-2.75
Zn2 0.8024 0.8024 0.7944  4 I 2.57-2.75
Sn1 0.0000 0.0000 0.5000  6 I 2.93-3.03
I1 0.0762 0.7219 0.6972  1 Zn 2.63
I2 0.1932 0.1932 0.8224  1 Zn 2.75, 1 Sn 2.93
I3 0.2781 0.9238 0.3028  1 Zn 2.63
I4 0.3992 0.3992 0.2624  1 Zn 2.57
I5 0.6008 0.6008 0.7376  1 Zn 2.57
I6 0.7219 0.0762 0.6972  1 Zn 2.63
I7 0.8068 0.8068 0.1776  1 Zn 2.75, 1 Sn 2.93
I8 0.9238 0.2781 0.3028  1 Zn 2.63

Computed properties:
* space-group type: C2/m
* ΔE_f (raw): -38.9 kJ/mol of atoms
* magnetization: 0.00 μB per atom
* total energy: -23.4 eV per cell


[2]
VASP calculation (GGA-PBE) on crystalline Cd2InSnHg at its relaxed geometry.

Cell lengths 7.5712, 7.5712, 6.1555 Å; angles 90.00, 90.00, 129.10 degrees
With the nearest neighbours (Å) after each atom.
Fractional positions:
Cd1 0.2431 0.2431 0.0000  2 Hg 2.98, 2 Sn 3.00, 3 Cd 3.08-3.16
Cd2 0.2431 0.2431 0.5000  2 Hg 2.98, 2 Sn 3.00, 3 Cd 3.08-3.16
Cd3 0.7569 0.7569 0.0000  2 Hg 2.98, 2 Sn 3.00, 3 Cd 3.08-3.16
Cd4 0.7569 0.7569 0.5000  2 Hg 2.98, 2 Sn 3.00, 3 Cd 3.08-3.16
In1 0.2458 0.7542 0.7500  4 Hg 3.37-3.57, 4 Sn 3.43-3.54
In2 0.7542 0.2458 0.2500  4 Hg 3.37-3.57, 4 Sn 3.43-3.54
Sn1 0.3563 0.6437 0.2500  1 Hg 2.87, 4 Cd 3.00
Sn2 0.6437 0.3563 0.7500  1 Hg 2.87, 4 Cd 3.00
Hg1 0.1462 0.8538 0.2500  1 Sn 2.87, 4 Cd 2.98
Hg2 0.8538 0.1462 0.7500  1 Sn 2.87, 4 Cd 2.98

Computed properties:
* energy of formation: 37 kJ/mol of formula units
* space-group type: Cmcm
* DOS(E_F): 0.480 states/eV/atom
* magnetization: 0.00 μB per atom
* total energy: -17.0 eV per cell


[3]
VASP calculation (GGA-PBE) on crystalline AlCrSe2 at its relaxed geometry.

Cell lengths 4.7497, 4.7497, 4.7497 Å; angles 60.00, 60.00, 60.00 degrees
With the nearest neighbours (Å) after each atom.
Fractional positions:
Al1 0.0000 0.0000 0.0000  4 Cr 2.91, 4 Se 2.91
Cr1 0.2500 0.2500 0.2500  4 Se 2.91, 4 Al 2.91
Se1 0.5000 0.5000 0.5000  4 Se 2.91, 4 Cr 2.91
Se2 0.7500 0.7500 0.7500  4 Se 2.91, 4 Al 2.91

Computed properties:
* space-group type: F-43m
* ΔE_f (raw): 38.1 kJ/mol of atoms
* DOS(E_F): 0.368 states/eV/atom
* magnetization: 0.98 μB per atom
* total energy: -18.8 eV per cell


[4]
VASP calculation (GGA-PBE) on crystalline Li4Al3Ga4 at its relaxed geometry.

Cell lengths 2.9207, 4.3937, 14.6910 Å; angles 81.58, 89.38, 89.32 degrees
With the nearest neighbours (Å) after each atom.
Fractional positions:
Li1 0.0029 0.4045 0.1863  6 Ga 2.91-3.19, 2 Li 2.92, 6 Al 2.95-3.09
Li2 0.0041 0.2240 0.5540  4 Li 2.70-2.92, 6 Ga 2.78-2.93, 2 Al 2.81-2.82
Li3 0.9959 0.7760 0.4460  4 Li 2.70-2.92, 6 Ga 2.78-2.93, 2 Al 2.81-2.82
Li4 0.9971 0.5955 0.8137  6 Ga 2.91-3.19, 2 Li 2.92, 6 Al 2.95-3.09
Al1 0.4995 0.1434 0.7198  3 Ga 2.62-2.64, 2 Li 2.81-2.82, 2 Al 2.92
Al2 0.5000 0.5000 0.0000  4 Ga 2.63-2.64, 2 Al 2.92
Al3 0.5005 0.8566 0.2802  3 Ga 2.62-2.64, 2 Li 2.81-2.82, 2 Al 2.92
Ga1 0.4904 0.0509 0.9001  3 Al 2.62-2.64, 3 Ga 2.90-2.92, 3 Li 2.91-2.92
Ga2 0.4978 0.6930 0.6197  2 Al 2.63-2.64, 6 Li 2.78-2.93, 2 Ga 2.92
Ga3 0.5022 0.3070 0.3803  2 Al 2.63-2.64, 6 Li 2.78-2.93, 2 Ga 2.92
Ga4 0.5096 0.9491 0.0999  3 Al 2.62-2.64, 3 Ga 2.90-2.92, 3 Li 2.91-2.92

Computed properties:
* energy of formation: -174 kJ/mol of formula units
* space-group type: P-1
* DOS(E_F): 0.299 states/eV/atom
* magnetization: 0.00 μB per atom
* total energy: -32.8 eV per cell


[5]
VASP calculation (GGA-PBE) on crystalline TmZnSn at its relaxed geometry.

Cell lengths 4.9654, 4.9654, 6.1307 Å; angles 90.00, 90.00, 110.42 degrees
With the nearest neighbours (Å) after each atom.
Fractional positions:
Tm1 0.1628 0.8372 0.7500  5 Sn 3.02-3.09, 2 Zn 3.15
Tm2 0.8372 0.1628 0.2500  5 Sn 3.02-3.09, 2 Zn 3.15
Zn1 0.5000 0.5000 0.0000  2 Sn 2.83, 2 Zn 3.07, 2 Tm 3.15
Zn2 0.5000 0.5000 0.5000  2 Sn 2.83, 2 Zn 3.07, 2 Tm 3.15
Sn1 0.2078 0.7922 0.2500  2 Zn 2.83, 5 Tm 3.02-3.09
Sn2 0.7922 0.2078 0.7500  2 Zn 2.83, 5 Tm 3.02-3.09

Computed properties:
* energy of formation: -81 kJ/mol of formula units
* space-group type: Cmcm
* DOS(E_F): 0.751 states/eV/atom
* magnetization: 0.00 μB per atom
* total energy: -21.2 eV per cell


[6]
VASP calculation (GGA-PBE) on crystalline TbC at its relaxed geometry.

Cell lengths 4.1584, 4.1584, 6.0869 Å; angles 91.19, 91.19, 50.36 degrees
With the nearest neighbours (Å) after each atom.
Fractional positions:
Tb1 0.1423 0.1423 0.2743  3 C 2.32-2.51
Tb2 0.8577 0.8577 0.7257  3 C 2.32-2.51
C1 0.4205 0.4205 0.4461  1 C 1.35
C2 0.5795 0.5795 0.5539  1 C 1.35

Computed properties:
* energy of formation: -45 kJ/mol of formula units
* space-group type: C2/m
* DOS(E_F): 0.354 states/eV/atom
* magnetization: 0.00 μB per atom
* total energy: -28.6 eV per cell